Arrangement a

A plane-wave DFT calculation with PBE was carried out for a relaxed OsRhI2 crystal.

a b c (Å): 5.8938 5.8938 7.4121
angles (deg): 66.57 66.57 90.00
Fractional positions:
I 0.6303 0.1250 0.2500
I 0.1197 0.6250 0.2500
I 0.3750 0.3697 0.7500
I 0.8750 0.8803 0.7500
Rh 0.5000 0.5000 0.0000
Rh 0.2500 0.7500 0.5000
Os 0.0000 0.0000 0.0000
Os 0.7500 0.2500 0.5000

Fermi-level density of states = 9.2 states/eV per cell
space-group type = I-42d

---

Arrangement b

A plane-wave DFT calculation with PBE was carried out for a relaxed OsRhI2 crystal.

a b c (Å): 4.8082 4.8082 4.8082
angles (deg): 60.00 60.00 60.00
Fractional positions:
I 0.2500 0.2500 0.2500
I 0.7500 0.7500 0.7500
Rh 0.0000 0.0000 0.0000
Os 0.5000 0.5000 0.5000

Fermi-level density of states = 5.9 states/eV per cell
space-group type = Fm-3m

---

Which is more stable than every other structure shown? arrangement a is more stable than every other one.